(1)
Compound: Zn2CoIr
Source: the Alexandria database
Functional: PBE
Structure: relaxed

## Properties
Formation energy from the elements   0.027 eV/atom
Calculated density   11.69 g/cm³
Size of the total moment   1.34 μB/f.u.

abc: 2.849 4.521 8.429
angles: 90.00 90.00 90.00
Space group Cmmm (No. 65)
Symmetry-distinct sites (fractional):
Zn: 0.000 0.000 0.240 [4 per cell]
Co: 0.000 0.500 0.000 [2 per cell]
Ir: 0.000 0.500 0.500 [2 per cell]



(2)
Compound: Hg3W
Source: the Alexandria database
Functional: PBE
Structure: relaxed

## Properties
Formation energy from the elements   0.964 eV/atom
Calculated density   15.70 g/cm³
Energy above the most stable polymorph in this dataset   0.5116 eV per atom
Size of the total moment   1.81 μB/f.u.

abc: 4.690 6.019 5.889
angles: 90.00 90.00 90.00
Space group Pmmn (No. 59, origin choice 2)
Symmetry-distinct sites (fractional):
Hg: 0.250 0.000 0.152 [4 per cell]
Hg: 0.250 0.250 0.622 [2 per cell]
W: 0.250 0.750 0.674 [2 per cell]



(3)
Compound: Li2TcOs
Source: the Alexandria database
Functional: PBE
Structure: relaxed

## Properties
Formation energy from the elements   0.923 eV/atom
Calculated density   9.18 g/cm³
Energy above the most stable polymorph in this dataset   0.8134 eV per atom
Size of the total moment   0.00 μB/f.u.

abc: 6.698 6.698 4.874
angles: 90.00 90.00 90.00
Space group I-42d (No. 122)
Symmetry-distinct sites (fractional):
Li: 0.249 0.250 0.125 [8 per cell]
Tc: 0.000 0.000 0.500 [4 per cell]
Os: 0.000 0.000 0.000 [4 per cell]



(4)
Compound: MgCd2Mo
Source: the Alexandria database
Functional: PBE
Structure: relaxed

## Properties
Formation energy from the elements   0.259 eV/atom
Calculated density   7.66 g/cm³
Size of the total moment   0.00 μB/f.u.

abc: 4.233 4.233 4.175
angles: 90.00 90.00 90.00
Space group P4/mmm (No. 123)
Symmetry-distinct sites (fractional):
Mg: 0.000 0.000 0.000 [1 per cell]
Cd: 0.000 0.500 0.500 [2 per cell]
Mo: 0.500 0.500 0.000 [1 per cell]



(5)
Compound: UCoS2
Source: the Alexandria database
Functional: PBE
Structure: relaxed

## Properties
Calculated density   8.37 g/cm³
Energy above the most stable polymorph in this dataset   0.1965 eV per atom
Formation energy (no corrections)   -0.874 eV/atom
Size of the total moment   0.99 μB/f.u.

abc: 5.481 9.322 5.608
angles: 90.00 90.00 90.00
Space group Pna2_1 (No. 33)
Symmetry-distinct sites (fractional):
U: 0.039 0.121 0.000 [4 per cell]
Co: 0.119 0.376 0.674 [4 per cell]
S: 0.017 0.836 0.017 [4 per cell]
S: 0.039 0.410 0.052 [4 per cell]



(6)
Compound: VCdInCl6
Source: the Alexandria database
Functional: PBE
Structure: relaxed

## Properties
Calculated density   3.14 g/cm³
Formation energy (no corrections)   -1.086 eV/atom
Size of the total moment   2.00 μB/f.u.

abc: 6.6614 6.6614 6.7485
angles: 90.00 90.00 120.00
Space group P312 (No. 149)
Symmetry-distinct sites (fractional):
V: 0.0000 0.0000 0.0000 [1 per cell]
Cd: 0.6667 0.3333 0.0000 [1 per cell]
In: 0.3333 0.6667 0.5000 [1 per cell]
Cl: 0.3036 0.0243 0.2086 [6 per cell]



(7)
Compound: MgNiHPd2
Source: the Alexandria database
Functional: PBE
Structure: relaxed

## Properties
Calculated density   8.17 g/cm³
Energy above the most stable polymorph in this dataset   0.0000 eV per atom
Size of the total moment   0.00 μB/f.u.

abc: 4.148 4.148 3.504
angles: 90.00 90.00 90.00
Space group P4/mmm (No. 123)
Symmetry-distinct sites (fractional):
Mg: 0.000 0.000 0.000 [1 per cell]
Ni: 0.500 0.500 0.000 [1 per cell]
H: 0.500 0.500 0.500 [1 per cell]
Pd: 0.000 0.500 0.500 [2 per cell]



(8)
Compound: CaRe3Hg
Source: the Alexandria database
Functional: PBE
Structure: relaxed

## Properties
Formation energy from the elements   3.227 eV/atom
Calculated density   13.09 g/cm³
Energy above the most stable polymorph in this dataset   0.5028 eV per atom
Size of the total moment   1.43 μB/f.u.

abc: 4.663 4.663 4.663
angles: 90.00 90.00 90.00
Space group Pm-3m (No. 221)
Symmetry-distinct sites (fractional):
Ca: 0.000 0.000 0.000 [1 per cell]
Re: 0.000 0.000 0.500 [3 per cell]
Hg: 0.500 0.500 0.500 [1 per cell]